Entry 1:
Here is a relaxed Pr12Er3Al crystal from Alexandria via LeMat-Bulk. Energies are from PBE.

Computed properties:
- Final energy: -0.345 Ry per atom
- Crystal system: tetragonal
- SG: P4/mmm, No. 123

abc: 5.1006 5.1006 20.6482
angles: 90.00 90.00 90.00
Sites, in units of the cell vectors:
Al 0.0000 0.0000 0.0000
Pr 0.0000 0.5000 0.1179
Pr 0.5000 0.0000 0.6273
Pr 0.5000 0.0000 0.1179
Pr 0.0000 0.5000 0.8821
Pr 0.5000 0.5000 0.0000
Pr 0.0000 0.5000 0.6273
Pr 0.5000 0.5000 0.7543
Pr 0.5000 0.0000 0.3727
Pr 0.5000 0.5000 0.2457
Pr 0.5000 0.5000 0.5000
Pr 0.5000 0.0000 0.8821
Pr 0.0000 0.5000 0.3727
Er 0.0000 0.0000 0.5000
Er 0.0000 0.0000 0.2465
Er 0.0000 0.0000 0.7535

Entry 2:
Here is a relaxed TaCoTe2 crystal from Alexandria via LeMat-Bulk. Energies are from PBE.

Computed properties:
- Final energy: -0.415 Ry per atom
- Crystal system: monoclinic
- Formation energy (no corrections): 662 meV per atom
- SG: C2/m, No. 12

abc: 5.5051 5.5051 3.1563
angles: 73.06 73.06 102.47
Each line ends with the local moment (μB).
Sites, in units of the cell vectors:
Te 0.5000 0.5000 0.0000  0.01
Te 0.0000 0.0000 0.0000  0.01
Ta 0.0000 0.5000 0.5000  -0.10
Co 0.5000 0.0000 0.5000  1.26

Entry 3:
Here is a relaxed KCaRh2 crystal from Alexandria via LeMat-Bulk. Energies are from PBE.

Computed properties:
- Final energy: -0.290 Ry per atom
- ΔE to the lowest computed polymorph: 0.421 eV per atom
- Crystal system: cubic
- SG: Fm-3m, No. 225

abc: 4.9442 4.9442 4.9442
angles: 60.00 60.00 60.00
Sites, in units of the cell vectors:
Rh 0.7500 0.7500 0.7500
Rh 0.2500 0.2500 0.2500
K 0.0000 0.0000 0.0000
Ca 0.5000 0.5000 0.5000

Entry 4:
Here is a relaxed KAsCSe2 crystal from Alexandria via LeMat-Bulk. Energies are from PBE.

Computed properties:
- Final energy: -0.129 Ry per atom
- ΔE to the lowest computed polymorph: 1.953 eV per atom
- Crystal system: tetragonal
- Formation energy (no corrections): 2637 meV per atom
- SG: P4/mmm, No. 123

abc: 5.7615 5.7615 5.8521
angles: 90.00 90.00 90.00
Each line ends with the local moment (μB).
Sites, in units of the cell vectors:
C 0.5000 0.5000 0.5000  0.05
Se 0.0000 0.5000 0.0000  0.28
Se 0.5000 0.0000 0.0000  0.28
K 0.0000 0.0000 0.0000  0.05
As 0.0000 0.0000 0.5000  0.91

Entry 5:
Here is a relaxed TbNd4Y5 crystal from Alexandria via LeMat-Bulk. Energies are from PBE.

Computed properties:
- Final energy: -0.411 Ry per atom
- ΔE to the lowest computed polymorph: 0.000 eV per atom
- Crystal system: tetragonal
- SG: P4/mmm, No. 123

abc: 3.6252 3.6252 25.3810
angles: 90.00 90.00 90.00
Sites, in units of the cell vectors:
Y 0.5000 0.5000 0.0977
Y 0.5000 0.5000 0.9023
Y 0.5000 0.5000 0.2989
Y 0.5000 0.5000 0.5000
Y 0.5000 0.5000 0.7011
Tb 0.0000 0.0000 0.0000
Nd 0.0000 0.0000 0.6005
Nd 0.0000 0.0000 0.3995
Nd 0.0000 0.0000 0.1986
Nd 0.0000 0.0000 0.8014

Entry 6:
Here is a relaxed SrCd3In3 crystal from Alexandria via LeMat-Bulk. Energies are from PBE.

Computed properties:
- Final energy: -0.108 Ry per atom
- ΔE to the lowest computed polymorph: 0.493 eV per atom
- Crystal system: cubic
- SG: Fm-3m, No. 225

abc: 9.7371 9.7370 9.7370
angles: 60.00 60.00 60.00
Sites, in units of the cell vectors:
Sr 0.7500 0.7500 0.7500
Sr 0.2500 0.2500 0.2500
In 0.3455 0.6545 0.3455
In 0.3455 0.3455 0.6545
In 0.6545 0.6545 0.3455
In 0.6545 0.3455 0.6545
In 0.6545 0.3455 0.3455
In 0.3455 0.6545 0.6545
Cd 0.8491 0.1509 0.1509
Cd 0.1509 0.8491 0.1509
Cd 0.1509 0.8491 0.8491
Cd 0.1509 0.1509 0.8491
Cd 0.8491 0.8491 0.1509
Cd 0.8491 0.1509 0.8491

Entry 7:
Here is a relaxed BaZrScTe2 crystal from Alexandria via LeMat-Bulk. Energies are from PBE.

Computed properties:
- Final energy: -0.264 Ry per atom
- Crystal system: tetragonal
- Formation energy (no corrections): 1031 meV per atom
- SG: P4/mmm, No. 123

abc: 6.2721 5.6403 6.2721
angles: 90.00 90.00 90.00
Each line ends with the local moment (μB).
Sites, in units of the cell vectors:
Te 0.5000 0.0000 0.0000  -0.04
Te 0.0000 0.0000 0.5000  -0.05
Sc 0.5000 0.5000 0.5000  0.90
Zr 0.0000 0.5000 0.0000  1.64
Ba 0.0000 0.0000 0.0000  0.21

Entry 8:
Here is a relaxed CsV2H2 crystal from Alexandria via LeMat-Bulk. Energies are from PBE.

Computed properties:
- Final energy: -0.316 Ry per atom
- Crystal system: tetragonal
- SG: P4/mbm, No. 127

abc: 8.5062 8.5062 3.1461
angles: 90.00 90.00 90.00
Sites, in units of the cell vectors:
H 0.9151 0.4151 0.5000
H 0.4151 0.0849 0.5000
H 0.5849 0.9151 0.5000
H 0.0849 0.5849 0.5000
V 0.9243 0.5757 0.0000
V 0.5757 0.0757 0.0000
V 0.4243 0.9243 0.0000
V 0.0757 0.4243 0.0000
Cs 0.5000 0.5000 0.0000
Cs 0.0000 0.0000 0.0000

Total magnetization for every record listed, in sequence, given in Bohr magnetons per cell: 0.00 1.12 0.00 3.01 0.00 0.00 4.25 0.00.